Crystalline LiIr2F11 at its relaxed geometry. Source: the Alexandria database, functional PBE.

a = 8.5983 Å, b = 8.5983 Å, c = 8.5983 Å
α = 124.45°, β = 100.78°, γ = 104.31°
With the nearest neighbours (Å) after each atom.
Fractional positions:
1 Li 0.2500 0.2500 0.0000  4 F 2.01
2 Li 0.7500 0.7500 0.0000  4 F 2.01
3 Ir 0.0863 0.7205 0.8068  6 F 1.88-2.00
4 Ir 0.4137 0.2205 0.6342  6 F 1.88-2.00
5 Ir 0.5863 0.7795 0.3658  6 F 1.88-2.00
6 Ir 0.9137 0.2795 0.1932  6 F 1.88-2.00
7 F 0.0000 0.5000 0.5000  2 Ir 2.00
8 F 0.0570 0.5086 0.8263  1 Ir 1.88
9 F 0.1050 0.9381 0.7895  1 Ir 1.93, 1 Li 2.01
10 F 0.1486 0.3155 0.2105  1 Ir 1.93, 1 Li 2.01
11 F 0.1698 0.9251 0.0949  1 Ir 1.88
12 F 0.1822 0.0086 0.4515  1 Ir 1.88
13 F 0.3178 0.7693 0.8263  1 Ir 1.88
14 F 0.3302 0.4251 0.7553  1 Ir 1.88
15 F 0.3514 0.5619 0.1669  1 Ir 1.93, 1 Li 2.01
16 F 0.3950 0.1845 0.8331  1 Ir 1.93, 1 Li 2.01
17 F 0.4430 0.2693 0.4515  1 Ir 1.88
18 F 0.5000 0.0000 0.5000  2 Ir 2.00
19 F 0.5570 0.7307 0.5485  1 Ir 1.88
20 F 0.6050 0.8155 0.1669  1 Ir 1.93, 1 Li 2.01
21 F 0.6486 0.4381 0.8331  1 Ir 1.93, 1 Li 2.01
22 F 0.6698 0.5749 0.2447  1 Ir 1.88
23 F 0.6822 0.2307 0.1737  1 Ir 1.88
24 F 0.8178 0.9914 0.5485  1 Ir 1.88
25 F 0.8302 0.0749 0.9051  1 Ir 1.88
26 F 0.8514 0.6845 0.7895  1 Ir 1.93, 1 Li 2.01
27 F 0.8950 0.0619 0.2105  1 Ir 1.93, 1 Li 2.01
28 F 0.9430 0.4914 0.1737  1 Ir 1.88

Magnetization ... 8.00 Bohr magnetons per cell
ΔE_f (raw) ... -1.66 eV/atom

=====

Crystalline LiIrF5 at its relaxed geometry. Source: the Alexandria database, functional PBE.

a = 5.3891 Å, b = 5.3891 Å, c = 7.5537 Å
α = 110.36°, β = 110.36°, γ = 77.47°
With the nearest neighbours (Å) after each atom.
Fractional positions:
1 Li 0.0387 0.9613 0.7500  4 F 1.92
2 Li 0.9613 0.0387 0.2500  4 F 1.92
3 Ir 0.5000 0.5000 0.0000  6 F 1.94-2.02
4 Ir 0.5000 0.5000 0.5000  6 F 1.94-2.02
5 F 0.1892 0.7482 0.5408  1 Li 1.92, 1 Ir 1.95
6 F 0.2062 0.2844 0.8601  1 Li 1.92, 1 Ir 1.94
7 F 0.2518 0.8108 0.9592  1 Li 1.92, 1 Ir 1.95
8 F 0.2844 0.2062 0.3601  1 Li 1.92, 1 Ir 1.94
9 F 0.3939 0.6061 0.2500  2 Ir 2.02
10 F 0.6061 0.3939 0.7500  2 Ir 2.02
11 F 0.7156 0.7938 0.6399  1 Li 1.92, 1 Ir 1.94
12 F 0.7482 0.1892 0.0408  1 Li 1.92, 1 Ir 1.95
13 F 0.7938 0.7156 0.1399  1 Li 1.92, 1 Ir 1.94
14 F 0.8108 0.2518 0.4592  1 Li 1.92, 1 Ir 1.95

Magnetization ... 2.03 Bohr magnetons per cell
ΔE_f (raw) ... -1.89 eV/atom

=====

Crystalline Li3IrF7 at its relaxed geometry. Source: the Alexandria database, functional PBE.

a = 5.1604 Å, b = 5.1604 Å, c = 5.6396 Å
α = 102.56°, β = 102.56°, γ = 93.42°
With the nearest neighbours (Å) after each atom.
Fractional positions:
1 Li 0.0000 0.0000 0.0000  3 F 1.80-1.90
2 Li 0.1204 0.6744 0.5669  4 F 1.81-2.01
3 Li 0.6744 0.1204 0.5669  4 F 1.81-2.01
4 Ir 0.5206 0.5206 0.1628  6 F 1.95-1.99
5 F 0.2518 0.6284 0.9094  1 Ir 1.96, 1 Li 1.97
6 F 0.2636 0.2636 0.2261  1 Li 1.90, 1 Ir 1.96
7 F 0.4127 0.7897 0.4229  2 Li 1.98-2.01, 1 Ir 1.99
8 F 0.6284 0.2518 0.9094  1 Ir 1.96, 1 Li 1.97
9 F 0.7869 0.7869 0.1305  1 Li 1.88, 1 Ir 1.95
10 F 0.7897 0.4127 0.4229  2 Li 1.98-2.01, 1 Ir 1.99
11 F 0.9795 0.9795 0.6738  3 Li 1.80-1.81

Magnetization ... 1.01 Bohr magnetons per cell
ΔE_f (raw) ... -2.27 eV/atom

=====

Crystalline Li2IrF at its relaxed geometry. Source: the Alexandria database, functional PBE.

a = 5.2286 Å, b = 5.2286 Å, c = 5.2286 Å
α = 116.84°, β = 116.84°, γ = 95.56°
With the nearest neighbours (Å) after each atom.
Fractional positions:
1 Li 0.0011 0.1250 0.3761  2 F 1.77
2 Li 0.3750 0.9989 0.1239  2 F 1.77
3 Li 0.7489 0.6250 0.6239  2 F 1.77
4 Li 0.8750 0.2511 0.8761  2 F 1.77
5 Ir 0.2500 0.7500 0.5000  4 Li 2.61
6 Ir 0.5000 0.5000 0.0000  4 Li 2.61
7 F 0.0000 0.0000 0.0000  4 Li 1.77
8 F 0.7500 0.2500 0.5000  4 Li 1.77

Magnetization ... 3.09 Bohr magnetons per cell
ΔE_f (raw) ... -0.76 eV/atom
Excess energy over the best structure of this formula in the dataset ... 0.000 eV per atom

=====

Crystalline LiIrF6 at its relaxed geometry. Source: the Alexandria database, functional PBE.

a = 5.4888 Å, b = 5.4888 Å, c = 5.4888 Å
α = 56.74°, β = 56.74°, γ = 56.74°
With the nearest neighbours (Å) after each atom.
Fractional positions:
1 Li 0.0000 0.0000 0.0000  6 F 2.05
2 Ir 0.5000 0.5000 0.5000  6 F 1.92
3 F 0.1451 0.7393 0.3743  1 Ir 1.92, 1 Li 2.05
4 F 0.2607 0.6257 0.8549  1 Ir 1.92, 1 Li 2.05
5 F 0.3743 0.1451 0.7393  1 Ir 1.92, 1 Li 2.05
6 F 0.6257 0.8549 0.2607  1 Ir 1.92, 1 Li 2.05
7 F 0.7393 0.3743 0.1451  1 Ir 1.92, 1 Li 2.05
8 F 0.8549 0.2607 0.6257  1 Ir 1.92, 1 Li 2.05

Magnetization ... 2.00 Bohr magnetons per cell
ΔE_f (raw) ... -1.89 eV/atom
Excess energy over the best structure of this formula in the dataset ... 0.000 eV per atom

=====

Crystalline Li2MgIrF8 at its relaxed geometry. Source: the Alexandria database, functional PBE.

a = 4.7202 Å, b = 6.3157 Å, c = 4.7305 Å
α = 90.00°, β = 92.75°, γ = 90.00°
With the nearest neighbours (Å) after each atom.
Fractional positions:
1 Li 0.0000 0.2208 0.0000  4 F 1.93-2.14
2 Li 0.0000 0.7792 0.0000  4 F 1.93-2.14
3 Mg 0.5000 0.0000 0.5000  6 F 1.92-2.09
4 Ir 0.5000 0.5000 0.5000  6 F 1.94-1.99
5 F 0.2029 0.5000 0.2017  1 Ir 1.94
6 F 0.2060 0.0000 0.2050  1 Mg 1.92, 2 Li 1.93
7 F 0.3103 0.2608 0.6882  1 Ir 1.99, 1 Mg 2.09, 1 Li 2.14
8 F 0.3103 0.7392 0.6882  1 Ir 1.99, 1 Mg 2.09, 1 Li 2.14
9 F 0.6897 0.2608 0.3118  1 Ir 1.99, 1 Mg 2.09, 1 Li 2.14
10 F 0.6897 0.7392 0.3118  1 Ir 1.99, 1 Mg 2.09, 1 Li 2.14
11 F 0.7940 0.0000 0.7950  1 Mg 1.92, 2 Li 1.93
12 F 0.7971 0.5000 0.7983  1 Ir 1.94

Magnetization ... 1.00 Bohr magnetons per cell
ΔE_f (raw) ... -2.47 eV/atom

=====

Crystalline LiMgIrF6 at its relaxed geometry. Source: the Alexandria database, functional PBE.

a = 5.2462 Å, b = 5.2462 Å, c = 8.9663 Å
α = 90.00°, β = 90.00°, γ = 120.00°
With the nearest neighbours (Å) after each atom.
Fractional positions:
1 Li 0.0000 0.0000 0.0000  6 F 2.14
2 Li 0.0000 0.0000 0.5000  6 F 2.14
3 Mg 0.3333 0.6667 0.2500  6 F 2.02
4 Mg 0.6667 0.3333 0.7500  6 F 2.02
5 Ir 0.3333 0.6667 0.7500  6 F 2.04
6 Ir 0.6667 0.3333 0.2500  6 F 2.04
7 F 0.0031 0.3420 0.1316  1 Mg 2.02, 1 Ir 2.04, 1 Li 2.14
8 F 0.0031 0.6611 0.3684  1 Mg 2.02, 1 Ir 2.04, 1 Li 2.14
9 F 0.3389 0.3420 0.3684  1 Mg 2.02, 1 Ir 2.04, 1 Li 2.14
10 F 0.3389 0.9969 0.1316  1 Mg 2.02, 1 Ir 2.04, 1 Li 2.14
11 F 0.3420 0.0031 0.6316  1 Mg 2.02, 1 Ir 2.04, 1 Li 2.14
12 F 0.3420 0.3389 0.8684  1 Mg 2.02, 1 Ir 2.04, 1 Li 2.14
13 F 0.6580 0.6611 0.1316  1 Mg 2.02, 1 Ir 2.04, 1 Li 2.14
14 F 0.6580 0.9969 0.3684  1 Mg 2.02, 1 Ir 2.04, 1 Li 2.14
15 F 0.6611 0.0031 0.8684  1 Mg 2.02, 1 Ir 2.04, 1 Li 2.14
16 F 0.6611 0.6580 0.6316  1 Mg 2.02, 1 Ir 2.04, 1 Li 2.14
17 F 0.9969 0.3389 0.6316  1 Mg 2.02, 1 Ir 2.04, 1 Li 2.14
18 F 0.9969 0.6580 0.8684  1 Mg 2.02, 1 Ir 2.04, 1 Li 2.14

Magnetization ... 0.35 Bohr magnetons per cell
ΔE_f (raw) ... -2.39 eV/atom